(1)
Material: BaTiI3
Method: DFT, PBE-GGA
State: optimized geometry

Results
- formation energy without anion corrections (eV per atom) = -0.818
- volume (Å³/cell) = 187
- magnetization (μB/f.u.) = 2.97
- distance to the lowest polymorph of the same formula (meV per atom) = 0
- final energy (eV per atom) = -3.71

a b c (Å): 5.7228 5.7228 5.7228
angles (deg): 90.00 90.00 90.00
Closest atoms and distances in Å follow each position.
Space group Pm-3m (No. 221)
Inequivalent atoms, fractional coordinates:
Ba 0.0000 0.0000 0.0000 x1  12 I 4.05
Ti 0.5000 0.5000 0.5000 x1  6 I 2.86
I 0.0000 0.5000 0.5000 x3  2 Ti 2.86

***

(2)
Material: Ba3TiI
Method: DFT, PBE-GGA
State: optimized geometry

Results
- formation energy without anion corrections (eV per atom) = 0.200
- volume (Å³/cell) = 254
- magnetization (μB/f.u.) = 2.97
- distance to the lowest polymorph of the same formula (meV per atom) = 0
- final energy (eV per atom) = -2.84

a b c (Å): 6.3338 6.3338 6.3338
angles (deg): 90.00 90.00 90.00
Closest atoms and distances in Å follow each position.
Space group Pm-3m (No. 221)
Inequivalent atoms, fractional coordinates:
Ba 0.0000 0.0000 0.5000 x3  2 Ti 3.17
Ti 0.0000 0.0000 0.0000 x1  6 Ba 3.17
I 0.5000 0.5000 0.5000 x1  12 Ba 4.48

***

(3)
Material: BaTiZnI2
Method: DFT, PBE-GGA
State: optimized geometry

Results
- formation energy without anion corrections (eV per atom) = -0.059
- volume (Å³/cell) = 209
- magnetization (μB/f.u.) = 2.58
- final energy (eV per atom) = -2.90

a b c (Å): 5.5185 5.5185 6.8697
angles (deg): 90.00 90.00 90.00
Closest atoms and distances in Å follow each position.
Space group P4/mmm (No. 123)
Inequivalent atoms, fractional coordinates:
Ba 0.0000 0.0000 0.0000 x1  2 Ti 3.43
Ti 0.0000 0.0000 0.5000 x1  4 I 2.76
Zn 0.5000 0.5000 0.0000 x1  4 Ba 3.90
I 0.0000 0.5000 0.5000 x2  2 Ti 2.76

***

(4)
Material: BaTl6I8
Method: DFT, PBE-GGA
State: optimized geometry

Results
- formation energy without anion corrections (eV per atom) = -0.831
- volume (Å³/cell) = 693
- magnetization (μB/f.u.) = 0.00
- final energy (eV per atom) = -2.73

a b c (Å): 10.7427 10.7427 6.9306
angles (deg): 90.00 90.00 120.00
Closest atoms and distances in Å follow each position.
Space group P-3 (No. 147)
Inequivalent atoms, fractional coordinates:
Ba 0.0000 0.0000 0.0000 x1  6 I 3.43
Tl 0.0246 0.3933 0.7822 x6  6 I 3.47-3.82
I 0.0046 0.2753 0.2580 x6  1 Ba 3.43, 5 Tl 3.50-3.82
I 0.3333 0.6667 0.9931 x2  3 Tl 3.47

***

(5)
Material: BaTl2I8
Method: DFT, PBE-GGA
State: optimized geometry

Results
- formation energy without anion corrections (eV per atom) = -0.659
- volume (Å³/cell) = 1283
- magnetization (μB/f.u.) = 0.00
- final energy (eV per atom) = -2.39

a b c (Å): 14.8901 11.2551 7.8400
angles (deg): 90.00 102.52 90.00
Closest atoms and distances in Å follow each position.
Space group C2/m (No. 12)
Inequivalent atoms, fractional coordinates:
Ba 0.0000 0.0000 0.0000 x2  6 I 3.49-3.51
Tl 0.2125 0.0000 0.6807 x4  4 I 2.80-2.87
I 0.0983 0.5000 0.1710 x4  1 Tl 2.80
I 0.1120 0.1991 0.7715 x8  1 Tl 2.87
I 0.2062 0.0000 0.3119 x4  1 Tl 2.87

***

(6)
Material: Ba8Tl3I4
Method: DFT, PBE-GGA
State: optimized geometry

Results
- formation energy without anion corrections (eV per atom) = -0.837
- volume (Å³/cell) = 1454
- magnetization (μB/f.u.) = 0.27
- final energy (eV per atom) = -2.75

a b c (Å): 14.2768 14.2473 9.9229
angles (deg): 90.00 133.93 90.00
Closest atoms and distances in Å follow each position.
Space group C2/m (No. 12)
Inequivalent atoms, fractional coordinates:
Ba 0.0000 0.2449 0.0000 x4  3 I 3.57-3.63, 2 Tl 3.58
Ba 0.0000 0.2476 0.5000 x4  3 Tl 3.53-3.57, 3 I 3.58-3.60
Ba 0.2339 0.0000 0.9837 x4  1 Tl 3.46, 4 I 3.57-3.70
Ba 0.2437 0.0000 0.4935 x4  3 Tl 3.52-3.56, 2 I 3.61-3.62
Tl 0.0000 0.0000 0.5000 x2  6 Ba 3.46-3.53
Tl 0.2500 0.2500 0.5000 x4  6 Ba 3.56-3.58
I 0.0000 0.5000 0.0000 x2  6 Ba 3.62-3.69
I 0.0000 0.5000 0.5000 x2  6 Ba 3.60-3.70
I 0.2500 0.2500 0.0000 x4  6 Ba 3.57-3.58

***

Q: Among the records above, which one has the lowest formation energy without anion corrections?
A: Ba8Tl3I4

***

Q: Which formula does entry 3 have?
A: BaTiZnI2